Density functional theory data (PBE-GGA) for SrLaReI2 after structural relaxation.

Lattice parameters (Å, degrees): 6.2380 6.2380 5.2186 90.00 90.00 90.00
With the nearest neighbours (Å) after each atom.
Sites, in units of the cell vectors:
1 Sr 0.0000 0.0000 0.0000  8 I 4.07, 4 Re 4.41
2 La 0.5000 0.5000 0.5000  2 Re 2.61
3 Re 0.5000 0.5000 0.0000  2 La 2.61
4 I 0.0000 0.5000 0.5000  2 La 3.12
5 I 0.5000 0.0000 0.5000  2 La 3.12

Output
space-group type	P4/mmm, No. 123
formation energy without anion corrections	0.234	eV per atom